Record 1
DFT (PBE) results for Ca3AcPm2Te6 after structural relaxation.

a b c (Å): 4.498 9.136 10.196
angles (deg): 104.36 102.74 90.00
Element x y z (fractional)
Ac 0.500 0.000 0.000
Te 0.328 0.913 0.657
Ca 0.834 0.168 0.669
Te 0.002 0.265 0.003
Pm 0.829 0.658 0.658
Ca 0.166 0.832 0.331
Te 0.672 0.087 0.343
Pm 0.171 0.342 0.342
Te 0.998 0.735 0.997
Te 0.335 0.414 0.670
Te 0.665 0.586 0.330
Ca 0.500 0.500 0.000

Computed properties:
Formation energy without anion corrections ... -1.51 eV/atom

=====

Record 2
DFT (PBE) results for ErLuTl2 after structural relaxation.

a b c (Å): 3.570 3.570 8.308
angles (deg): 90.00 90.00 90.00
Each line ends with the local moment (μB).
Element x y z (fractional)
Er 0.500 0.500 0.500  0.15
Lu 0.500 0.500 0.000  -0.10
Tl 0.000 0.000 0.752  0.00
Tl 0.000 0.000 0.248  0.00

Computed properties:
Calculated total energy ... -3.744 eV/atom

=====

Record 3
DFT (PBE) results for HoAsPd2 after structural relaxation.

a b c (Å): 4.057 5.457 7.167
angles (deg): 90.00 90.00 111.82
Element x y z (fractional)
Ho 0.946 0.891 0.250
As 0.768 0.536 0.750
Ho 0.054 0.109 0.750
As 0.232 0.464 0.250
Pd 0.363 0.726 0.946
Pd 0.637 0.274 0.054
Pd 0.637 0.274 0.446
Pd 0.363 0.726 0.554

Computed properties:
Calculated total energy ... -5.814 eV/atom

=====

Record 4
DFT (PBE) results for HfNb2H after structural relaxation.

a b c (Å): 4.547 4.547 4.547
angles (deg): 60.00 60.00 60.00
Element x y z (fractional)
Hf 0.500 0.500 0.500
H 0.000 0.000 0.000
Nb 0.750 0.750 0.750
Nb 0.250 0.250 0.250

Computed properties:
Calculated total energy ... -7.395 eV/atom

=====

Record 5
DFT (PBE) results for CsPSe2N after structural relaxation.

a b c (Å): 6.103 6.103 3.242
angles (deg): 90.00 90.00 90.00
Element x y z (fractional)
Se 0.000 0.500 0.000
N 0.000 0.000 0.500
Se 0.500 0.000 0.000
P 0.000 0.000 0.000
Cs 0.500 0.500 0.500

Computed properties:
Formation energy without anion corrections ... 0.29 eV/atom

=====

Record 6
DFT (PBE) results for Tb2Zr5Ir3 after structural relaxation.

a b c (Å): 4.570 7.014 13.949
angles (deg): 90.00 99.43 90.00
Element x y z (fractional)
Ir 0.952 0.465 0.905
Zr 0.946 0.082 0.892
Zr 0.598 0.878 0.196
Tb 0.522 0.239 0.044
Tb 0.173 0.745 0.346
Zr 0.708 0.035 0.415
Ir 0.772 0.751 0.545
Zr 0.296 0.960 0.592
Zr 0.402 0.378 0.804
Zr 0.128 0.224 0.255
Ir 0.048 0.965 0.095
Ir 0.228 0.251 0.455
Ir 0.396 0.986 0.793
Tb 0.478 0.739 0.956
Ir 0.604 0.486 0.207
Tb 0.827 0.245 0.654
Zr 0.704 0.460 0.408
Zr 0.054 0.582 0.108
Zr 0.872 0.724 0.745
Zr 0.292 0.535 0.585

Computed properties:
Calculated total energy ... -8.473 eV/atom

=====

Record 7
DFT (PBE) results for Zr2Se4Br after structural relaxation.

a b c (Å): 8.656 9.677 8.289
angles (deg): 133.73 105.19 96.69
Element x y z (fractional)
Zr 0.691 0.883 0.183
Se 0.871 0.208 0.715
Zr 0.550 0.272 0.236
Se 0.531 0.607 0.336
Se 0.424 0.072 0.746
Se 0.777 0.656 0.271
Se 0.373 0.509 0.818
Br 0.054 0.965 0.331
Br 0.200 0.257 0.147
Zr 0.231 0.282 0.852
Se 0.420 0.007 0.234
Se 0.736 0.586 0.745
Zr 0.612 0.320 0.738
Se 0.780 0.127 0.148

Computed properties:
Formation energy without anion corrections ... -1.12 eV/atom

=====

Record 8
DFT (PBE) results for KIn2Re2 after structural relaxation.

a b c (Å): 10.454 10.454 10.454
angles (deg): 160.26 160.26 28.06
Element x y z (fractional)
Re 0.250 0.750 0.500
In 0.634 0.634 0.000
Re 0.750 0.250 0.500
K 0.000 0.000 0.000
In 0.366 0.366 0.000

Computed properties:
Calculated total energy ... -5.860 eV/atom

=====

Record 9
DFT (PBE) results for DyTlPb2 after structural relaxation.

a b c (Å): 3.559 5.856 5.856
angles (deg): 72.55 90.00 90.00
Element x y z (fractional)
Pb 0.000 0.000 0.000
Dy 0.500 0.500 0.000
Pb 0.000 0.500 0.500
Tl 0.500 0.000 0.500

Computed properties:
Calculated total energy ... -3.817 eV/atom

=====

Record 10
DFT (PBE) results for HfTeSe2Br after structural relaxation.

a b c (Å): 5.230 5.230 5.187
angles (deg): 90.00 90.00 90.00
Each line ends with the local moment (μB).
Element x y z (fractional)
Se 0.500 0.000 0.000  0.02
Br 0.000 0.000 0.500  0.01
Hf 0.000 0.000 0.000  0.07
Te 0.500 0.500 0.500  0.35
Se 0.000 0.500 0.000  0.02

Computed properties:
Formation energy without anion corrections ... -0.33 eV/atom

=====

Record 11
DFT (PBE) results for Pm2NiIr3 after structural relaxation.

a b c (Å): 5.443 5.443 5.272
angles (deg): 90.05 121.03 119.99
Element x y z (fractional)
Pm 0.749 0.375 0.124
Ir 0.000 0.000 0.500
Ir 0.500 0.500 0.500
Pm 0.251 0.625 0.876
Ni 0.000 0.000 0.000
Ir 0.500 0.000 0.500

Computed properties:
Calculated total energy ... -7.633 eV/atom

=====

Record 12
DFT (PBE) results for Al8Pd2Rh after structural relaxation.

a b c (Å): 3.990 7.196 7.243
angles (deg): 119.78 105.99 90.00
Element x y z (fractional)
Al 0.849 0.849 0.698
Al 0.151 0.151 0.302
Al 0.661 0.894 0.322
Pd 0.181 0.681 0.361
Al 0.339 0.571 0.678
Al 0.339 0.106 0.678
Pd 0.819 0.319 0.639
Rh 0.500 0.000 0.000
Al 0.000 0.706 0.000
Al 0.661 0.429 0.322
Al 0.000 0.294 0.000

Computed properties:
Calculated total energy ... -4.824 eV/atom

=====

Record 13
DFT (PBE) results for Er2Tm2Si3 after structural relaxation.

a b c (Å): 4.550 5.572 7.871
angles (deg): 100.86 90.01 114.09
Element x y z (fractional)
Er 0.871 0.742 0.648
Si 0.797 0.595 0.278
Er 0.129 0.258 0.352
Si 0.000 0.000 0.000
Si 0.203 0.405 0.722
Tm 0.361 0.722 0.083
Tm 0.639 0.278 0.917

Computed properties:
Formation energy without anion corrections ... -0.49 eV/atom

=====

Record 14
DFT (PBE) results for MnTl2FeCl6 after structural relaxation.

a b c (Å): 7.103 7.110 7.058
angles (deg): 59.76 59.82 59.93
Each line ends with the local moment (μB).
Element x y z (fractional)
Tl 0.066 0.066 0.801  0.00
Cl 0.562 0.109 0.300  0.07
Cl 0.070 0.524 0.803  0.07
Cl 0.527 0.600 0.802  0.07
Mn 0.816 0.816 0.551  4.45
Cl 0.032 0.567 0.295  0.07
Cl 0.601 0.065 0.808  0.07
Cl 0.105 0.032 0.302  0.07
Tl 0.566 0.566 0.302  0.00
Fe 0.316 0.316 0.052  3.54

Computed properties:
Formation energy without anion corrections ... -0.91 eV/atom

=====

Record 15
DFT (PBE) results for LaFeAs2 after structural relaxation.

a b c (Å): 3.579 3.579 6.923
angles (deg): 90.00 90.00 109.16
Each line ends with the local moment (μB).
Element x y z (fractional)
As 0.000 0.000 0.052  -0.03
As 0.000 0.000 0.448  -0.03
La 0.500 0.500 0.750  -0.01
Fe 0.500 0.500 0.250  2.40

Computed properties:
Calculated total energy ... -6.051 eV/atom

=====

Record 16
DFT (PBE) results for UTiAlOs after structural relaxation.

a b c (Å): 4.599 4.599 4.599
angles (deg): 60.00 60.00 60.00
Each line ends with the local moment (μB).
Element x y z (fractional)
Os 0.250 0.250 0.250  0.00
Al 0.500 0.500 0.500  0.00
U 0.000 0.000 0.000  1.24
Ti 0.750 0.750 0.750  0.26

Computed properties:
Calculated total energy ... -8.716 eV/atom

=====

Record 17
DFT (PBE) results for TiSiS3 after structural relaxation.

a b c (Å): 4.460 4.460 4.460
angles (deg): 90.00 90.00 90.00
Element x y z (fractional)
Ti 0.500 0.500 0.500
S 0.000 0.000 0.500
S 0.000 0.500 0.000
Si 0.000 0.000 0.000
S 0.500 0.000 0.000

Computed properties:
Formation energy without anion corrections ... 0.06 eV/atom

=====

Record 18
DFT (PBE) results for BeV2H after structural relaxation.

a b c (Å): 4.754 5.634 5.640
angles (deg): 90.00 90.00 90.00
Element x y z (fractional)
H 0.071 0.392 0.604
H 0.571 0.608 0.396
Be 0.061 0.504 0.002
H 0.571 0.892 0.896
V 0.310 0.319 0.310
V 0.810 0.819 0.190
V 0.808 0.343 0.353
Be 0.561 0.004 0.498
V 0.308 0.843 0.147
V 0.808 0.157 0.853
Be 0.061 0.996 0.502
V 0.308 0.657 0.647
V 0.810 0.681 0.690
H 0.071 0.108 0.104
V 0.310 0.181 0.810
Be 0.561 0.496 0.998

Computed properties:
Calculated total energy ... -6.231 eV/atom

=====

Record 19
DFT (PBE) results for Al4SbRu after structural relaxation.

a b c (Å): 5.254 5.254 5.254
angles (deg): 60.00 60.00 60.00
Element x y z (fractional)
Al 0.376 0.376 0.376
Al 0.376 0.873 0.376
Ru 0.750 0.750 0.750
Al 0.376 0.376 0.873
Al 0.873 0.376 0.376
Sb 0.000 0.000 0.000

Computed properties:
Formation energy without anion corrections ... 0.21 eV/atom

=====

Record 20
DFT (PBE) results for Th8CoPt3Se4 after structural relaxation.

a b c (Å): 8.252 8.696 8.287
angles (deg): 118.52 119.86 90.00
Element x y z (fractional)
Se 0.000 0.000 0.000
Pt 0.500 0.500 0.000
Se 0.000 0.000 0.500
Co 0.000 0.500 0.000
Th 0.744 0.732 0.489
Se 0.500 0.000 0.000
Pt 0.000 0.500 0.500
Se 0.500 0.000 0.500
Th 0.256 0.268 0.511
Th 0.764 0.276 0.528
Th 0.236 0.724 0.472
Th 0.235 0.723 0.989
Th 0.246 0.277 0.011
Th 0.754 0.723 0.989
Th 0.765 0.277 0.011
Pt 0.500 0.500 0.500

Computed properties:
Formation energy without anion corrections ... -1.24 eV/atom

=====

Record 21
DFT (PBE) results for AcErPd2 after structural relaxation.

a b c (Å): 4.768 6.134 7.583
angles (deg): 113.98 90.00 90.00
Element x y z (fractional)
Pd 0.250 0.837 0.212
Pd 0.750 0.163 0.788
Er 0.750 0.780 0.410
Pd 0.750 0.300 0.412
Ac 0.750 0.712 0.885
Er 0.250 0.220 0.590
Ac 0.250 0.288 0.115
Pd 0.250 0.700 0.588

Computed properties:
Calculated total energy ... -5.577 eV/atom

=====

Record 22
DFT (PBE) results for Ba2CeIr3O12 after structural relaxation.

a b c (Å): 7.072 7.072 7.072
angles (deg): 62.12 62.12 62.12
Element x y z (fractional)
Ir 0.000 0.500 0.000
O 0.304 0.304 0.884
O 0.696 0.116 0.696
O 0.388 0.885 0.885
O 0.304 0.884 0.304
O 0.885 0.885 0.388
Ce 0.000 0.000 0.000
Ba 0.614 0.614 0.614
O 0.116 0.696 0.696
Ir 0.000 0.000 0.500
O 0.115 0.612 0.115
Ba 0.386 0.386 0.386
O 0.696 0.696 0.116
O 0.884 0.304 0.304
O 0.115 0.115 0.612
O 0.885 0.388 0.885
O 0.612 0.115 0.115
Ir 0.500 0.000 0.000

Computed properties:
Formation energy without anion corrections ... -1.61 eV/atom

=====

Record 23
DFT (PBE) results for TlReMo after structural relaxation.

a b c (Å): 6.202 6.202 6.202
angles (deg): 151.19 151.19 41.20
Element x y z (fractional)
Re 0.356 0.356 0.000
Mo 0.976 0.976 0.000
Tl 0.668 0.668 0.000

Computed properties:
Calculated total energy ... -8.009 eV/atom

=====

Record 24
DFT (PBE) results for Ce5Os2Rh after structural relaxation.

a b c (Å): 7.096 7.097 6.075
angles (deg): 125.63 125.57 90.16
Each line ends with the local moment (μB).
Element x y z (fractional)
Ce 0.728 0.237 0.966  0.17
Ce 0.238 0.729 0.966  0.16
Os 0.745 0.245 0.490  -0.02
Os 0.245 0.744 0.490  -0.02
Ce 0.681 0.683 0.363  0.42
Ce 0.238 0.237 0.966  0.16
Rh 0.173 0.173 0.346  -0.01
Ce 0.729 0.729 0.967  0.16

Computed properties:
Calculated total energy ... -7.565 eV/atom

=====

| no. | V (A^3/atom) | total magnetization (Bohr magnetons per cell) |
| --- | --- | --- |
| 1 | 32.9 | 0.0 |
| 2 | 26.5 | 0.0 |
| 3 | 18.4 | 0.0 |
| 4 | 16.6 | 0.0 |
| 5 | 24.1 | 0.0 |
| 6 | 22.1 | 0.0 |
| 7 | 31.3 | 0.0 |
| 8 | 26.1 | 0.0 |
| 9 | 29.1 | 0.0 |
| 10 | 28.4 | 0.8 |
| 11 | 18.1 | 0.0 |
| 12 | 15.6 | 0.0 |
| 13 | 25.5 | 0.0 |
| 14 | 25.1 | 9.0 |
| 15 | 20.9 | 2.4 |
| 16 | 17.2 | 1.6 |
| 17 | 17.7 | 0.0 |
| 18 | 9.4 | 0.0 |
| 19 | 17.1 | 0.0 |
| 20 | 26.9 | 0.0 |
| 21 | 25.3 | 0.0 |
| 22 | 14.6 | 0.0 |
| 23 | 18.4 | 0.0 |
| 24 | 21.6 | 1.2 |